Entry 1:
GGA-PBE Mg2Nb, optimized geometry; spin magnetization = 4.89 μB/f.u.; total DFT energy (no corrections) = -13.4 eV per cell; V = 607.6 Å³ per cell
1.0
0.000 6.722 6.722
6.722 0.000 6.722
6.722 6.722 0.000
Mg Nb
4 2
Cartesian
0.000 0.000 0.000
3.361 3.361 0.000
3.361 0.000 3.361
0.000 3.361 3.361
1.681 1.681 1.681
11.764 11.764 11.764



Entry 2:
GGA-PBE Hf2Nb4C3S3, optimized geometry; spin magnetization = 0.00 μB/f.u.; total DFT energy (no corrections) = -224.1 eV per cell; V = 341.7 Å³ per cell
1.0
5.015 -2.901 0.000
5.015 2.901 0.000
-3.326 0.000 11.744
Hf Nb C S
4 8 6 6
Cartesian
2.507 2.414 7.074
2.534 2.414 10.542
4.170 -2.414 1.202
4.196 -2.414 4.670
2.523 0.490 1.096
2.511 0.466 4.774
0.860 -0.490 6.968
0.849 -0.466 10.646
5.855 0.466 1.098
5.843 0.490 4.776
4.192 -0.466 6.970
4.181 -0.490 10.648
0.844 1.450 5.872
4.198 1.480 0.000
4.168 1.480 5.872
2.507 -1.450 0.000
2.535 -1.480 5.872
5.831 -1.480 0.000
-0.783 0.508 8.806
0.880 -0.508 2.933
2.520 0.438 8.808
4.183 -0.438 2.936
5.824 0.508 8.811
7.487 -0.508 2.939